Entry 1:
# MnTe2Pt GGA-PBE optimized geometry
# ΔE_f (raw): 0.096 eV per atom
data_MnTe2Pt
_cell_length_a 4.946
_cell_length_b 4.946
_cell_length_c 4.030
_cell_angle_alpha 90.00
_cell_angle_beta 90.00
_cell_angle_gamma 104.99
_symmetry_space_group_name_H-M 'P 1'
_symmetry_Int_Tables_number 1
_symmetry_space_group_name_Hall 'P 1'
loop_
_atom_site_label
_atom_site_type_symbol
_atom_site_fract_x
_atom_site_fract_y
_atom_site_fract_z
Mn1 Mn 0.000 0.000 0.000
Te1 Te 0.268 0.732 0.500
Te2 Te 0.732 0.268 0.500
Pt1 Pt 0.500 0.500 0.000

Entry 2:
# Na2Sn2As GGA-PBE optimized geometry
# E_form: -0.09 eV per atom
data_Na2Sn2As
_cell_length_a 7.439
_cell_length_b 7.439
_cell_length_c 5.109
_cell_angle_alpha 90.00
_cell_angle_beta 90.00
_cell_angle_gamma 90.00
_symmetry_space_group_name_H-M 'P 1'
_symmetry_Int_Tables_number 1
_symmetry_space_group_name_Hall 'P 1'
loop_
_atom_site_label
_atom_site_type_symbol
_atom_site_fract_x
_atom_site_fract_y
_atom_site_fract_z
Na1 Na 0.168 0.332 0.000
Na2 Na 0.332 0.832 0.000
Na3 Na 0.668 0.168 0.000
Na4 Na 0.832 0.668 0.000
Sn1 Sn 0.141 0.641 0.500
Sn2 Sn 0.359 0.141 0.500
Sn3 Sn 0.641 0.859 0.500
Sn4 Sn 0.859 0.359 0.500
As1 As 0.000 0.000 0.500
As2 As 0.500 0.500 0.500

Entry 3:
# Li2Ca3Au3 GGA-PBE optimized geometry
# E_form: -0.61 eV per atom
data_Li2Ca3Au3
_cell_length_a 8.708
_cell_length_b 8.708
_cell_length_c 5.825
_cell_angle_alpha 90.00
_cell_angle_beta 90.00
_cell_angle_gamma 120.00
_symmetry_space_group_name_H-M 'P 1'
_symmetry_Int_Tables_number 1
_symmetry_space_group_name_Hall 'P 1'
loop_
_atom_site_label
_atom_site_type_symbol
_atom_site_fract_x
_atom_site_fract_y
_atom_site_fract_z
Li1 Li 0.333 0.667 0.000
Li2 Li 0.333 0.667 0.500
Li3 Li 0.667 0.333 0.000
Li4 Li 0.667 0.333 0.500
Ca1 Ca 0.000 0.269 0.250
Ca2 Ca 0.000 0.731 0.750
Ca3 Ca 0.269 0.000 0.250
Ca4 Ca 0.269 0.269 0.750
Ca5 Ca 0.731 0.000 0.750
Ca6 Ca 0.731 0.731 0.250
Au1 Au 0.000 0.393 0.750
Au2 Au 0.000 0.607 0.250
Au3 Au 0.393 0.000 0.750
Au4 Au 0.393 0.393 0.250
Au5 Au 0.607 0.000 0.250
Au6 Au 0.607 0.607 0.750

Entry 4:
# YMnPd3 GGA-PBE optimized geometry
# E_form: -0.01 eV per atom
data_YMnPd3
_cell_length_a 4.703
_cell_length_b 4.703
_cell_length_c 4.703
_cell_angle_alpha 90.00
_cell_angle_beta 90.00
_cell_angle_gamma 90.00
_symmetry_space_group_name_H-M 'P 1'
_symmetry_Int_Tables_number 1
_symmetry_space_group_name_Hall 'P 1'
loop_
_atom_site_label
_atom_site_type_symbol
_atom_site_fract_x
_atom_site_fract_y
_atom_site_fract_z
Y1 Y 0.000 0.000 0.000
Mn1 Mn 0.500 0.500 0.500
Pd1 Pd 0.000 0.500 0.500
Pd2 Pd 0.500 0.000 0.500
Pd3 Pd 0.500 0.500 0.000

Which formula does entry 2 have? Na2Sn2As